A relaxed structure of Pr2UN3. Source: Alexandria via LeMat-Bulk, functional GGA-PBE.

Calculated values
- Energy above the most stable polymorph in this dataset: 0.000 eV/atom
- Uncorrected formation energy: -1.39 eV per atom

Unit cell a=6.1806 b=6.1806 c=6.2430 alpha=99.54 beta=99.54 gamma=119.86
Atoms (fractional coordinates):
N1 0.2637 0.2323 0.7900
N2 0.6304 0.9637 0.7956
U1 0.6664 0.3336 0.0000
N3 0.0363 0.3696 0.2044
Pr1 0.8333 0.1667 0.5000
Pr2 0.1690 0.8310 0.5000
N4 0.7677 0.7363 0.2100
Pr3 0.3333 0.6667 0.0000
Pr4 0.4977 0.5023 0.5000
U2 0.0003 0.9997 0.0000
N5 0.8990 0.5971 0.7900
N6 0.4029 0.1010 0.2100

A relaxed structure of NaTeNO2. Source: Alexandria via LeMat-Bulk, functional GGA-PBE.

Calculated values
- Uncorrected formation energy: 1.11 eV per atom

Unit cell a=4.0360 b=4.0360 c=4.1210 alpha=90.00 beta=90.00 gamma=90.00
Atoms (fractional coordinates):
Te1 0.5000 0.5000 0.5000
Na1 0.0000 0.0000 0.0000
O1 0.5000 0.0000 0.0000
N1 0.0000 0.0000 0.5000
O2 0.0000 0.5000 0.0000

A relaxed structure of CaTe2Rh2. Source: Alexandria via LeMat-Bulk, functional GGA-PBE.

Calculated values
- Energy above the most stable polymorph in this dataset: 0.010 eV/atom
- Uncorrected formation energy: -0.53 eV per atom

Unit cell a=5.0243 b=5.0243 c=5.7576 alpha=64.13 beta=64.13 gamma=90.00
Atoms (fractional coordinates):
Rh1 0.6491 0.6491 0.7017
Ca1 0.0000 0.0000 0.0000
Te1 0.7500 0.2500 0.5000
Te2 0.2500 0.7500 0.5000
Rh2 0.3509 0.3509 0.2983

A relaxed structure of CaTaBr2. Source: Alexandria via LeMat-Bulk, functional GGA-PBE.

Calculated values
- Energy above the most stable polymorph in this dataset: 0.267 eV/atom
- Uncorrected formation energy: -0.15 eV per atom

Unit cell a=6.9419 b=6.9419 c=7.4445 alpha=48.66 beta=48.66 gamma=28.18
Atoms (fractional coordinates):
Ta1 0.2972 0.2972 0.0688
Br1 0.9081 0.9081 0.1596
Ca1 0.5252 0.5252 0.4554
Br2 0.7695 0.7695 0.8162

A relaxed structure of UMnCl6. Source: Alexandria via LeMat-Bulk, functional GGA-PBE.

Calculated values
- Uncorrected formation energy: -1.45 eV per atom

Unit cell a=6.6102 b=6.6070 c=7.0851 alpha=62.21 beta=62.20 gamma=59.95
Atoms (fractional coordinates):
Cl1 0.8926 0.6188 0.2443
Cl2 0.2455 0.8934 0.2423
Mn1 0.0000 0.0000 0.0000
Cl3 0.1074 0.3812 0.7557
U1 0.5000 0.5000 0.5000
Cl4 0.7545 0.1066 0.7577
Cl5 0.3813 0.7551 0.7568
Cl6 0.6187 0.2449 0.2432

A relaxed structure of AcTePt2. Source: Alexandria via LeMat-Bulk, functional GGA-PBE.

Calculated values
- Uncorrected formation energy: -0.60 eV per atom

Unit cell a=5.2968 b=5.2968 c=5.0255 alpha=58.20 beta=58.20 gamma=60.00
Atoms (fractional coordinates):
Ac1 0.5000 0.5000 0.5000
Pt1 0.2287 0.2287 0.3138
Te1 0.0000 0.0000 0.0000
Pt2 0.7713 0.7713 0.6862

Question: Which value of uncorrected formation energy does entry 2 give?
Answer: 1.11 eV per atom

Question: uncorrected formation energy of number 6 (AcTePt2)?
Answer: -0.60 eV per atom

Question: Among the records above, which one has the highest uncorrected formation energy?
Answer: NaTeNO2

Question: Among the records above, which one has the lowest uncorrected formation energy?
Answer: UMnCl6